Record 1
PBE Pm3PrNi2, optimized geometry; energy above the lowest structure with this stoichiometry = 0.00 eV/f.u.; total magnetization = 0.00 μB per formula unit; E_tot = -5.31 eV/atom; DOS(E_F) = 15.1 states/eV per cell; formation energy from the elements = -0.212 eV/atom; space-group type = C2/m (12)
1.0
3.890 0.000 0.784
1.658 8.162 1.816
-0.022 -0.102 10.151
Pm Pr Ni
6 2 4
direct
0.155 0.939 0.751 Pm
0.845 0.061 0.249 Pm
0.418 0.221 0.943 Pm
0.582 0.779 0.057 Pm
0.583 0.274 0.559 Pm
0.417 0.726 0.441 Pm
0.847 0.558 0.747 Pr
0.153 0.442 0.253 Pr
0.232 0.584 0.952 Ni
0.768 0.416 0.048 Ni
0.768 0.917 0.548 Ni
0.232 0.083 0.452 Ni

=====

Record 2
PBE PmPrNi2, optimized geometry; energy above the lowest structure with this stoichiometry = 0.39 eV/f.u.; total magnetization = 0.00 μB per formula unit; E_tot = -5.50 eV/atom; DOS(E_F) = 3.3 states/eV per cell; formation energy from the elements = -0.223 eV/atom; space-group type = P4/mmm (123)
1.0
-0.461 3.172 1.323
-1.811 -2.000 4.165
4.573 -0.137 1.922
Pr Ni Pm
1 2 1
direct
0.500 0.000 0.000 Pr
0.000 0.000 0.500 Ni
0.000 0.500 0.000 Ni
0.500 0.500 0.500 Pm

=====

Record 3
PBE PmPr3Ni, optimized geometry; energy above the lowest structure with this stoichiometry = 0.80 eV/f.u.; total magnetization = 0.00 μB per formula unit; E_tot = -4.93 eV/atom; DOS(E_F) = 11.7 states/eV per cell; formation energy from the elements = 0.046 eV/atom; space-group type = Pm-3m (221)
1.0
5.534 0.000 0.000
0.000 5.534 0.000
0.000 0.000 5.534
Pr Ni Pm
3 1 1
direct
0.000 0.500 0.000 Pr
0.000 0.000 0.500 Pr
0.500 0.000 0.000 Pr
0.000 0.000 0.000 Ni
0.500 0.500 0.500 Pm

=====

Record 4
PBE PmPr4Ni4, optimized geometry; total magnetization = 0.00 μB per formula unit; E_tot = -5.38 eV/atom; DOS(E_F) = 15.7 states/eV per cell; formation energy from the elements = -0.160 eV/atom; space-group type = P4_2/n (86)
1.0
-5.588 -0.360 2.202
-1.823 -6.277 -5.654
2.636 -5.918 5.720
Pm Pr Ni
2 8 8
direct
0.000 0.000 0.000 Pm
0.500 0.500 0.500 Pm
0.400 0.307 0.916 Pr
0.900 0.584 0.807 Pr
0.400 0.693 0.084 Pr
0.100 0.193 0.584 Pr
0.600 0.916 0.693 Pr
0.100 0.807 0.416 Pr
0.900 0.416 0.193 Pr
0.600 0.084 0.307 Pr
0.623 0.773 0.367 Ni
0.623 0.227 0.633 Ni
0.123 0.867 0.727 Ni
0.877 0.273 0.867 Ni
0.877 0.727 0.133 Ni
0.377 0.367 0.227 Ni
0.377 0.633 0.773 Ni
0.123 0.133 0.273 Ni

=====

Record 5
PBE Pm7PrNi2, optimized geometry; total magnetization = 0.00 μB per formula unit; E_tot = -4.87 eV/atom; DOS(E_F) = 14.5 states/eV per cell; formation energy from the elements = 0.089 eV/atom; space-group type = Cmmm (65)
1.0
-1.511 2.385 -4.330
-3.089 -7.332 -2.960
-5.347 4.807 4.513
Pm Pr Ni
7 1 2
direct
0.000 0.710 0.290 Pm
0.000 0.290 0.710 Pm
0.500 0.054 0.324 Pm
0.500 0.946 0.676 Pm
0.500 0.324 0.054 Pm
0.500 0.676 0.946 Pm
0.500 0.500 0.500 Pm
0.000 0.000 0.000 Pr
0.500 0.697 0.303 Ni
0.500 0.303 0.697 Ni

=====

Record 6
PBE Pm2PrNi, optimized geometry; energy above the lowest structure with this stoichiometry = 0.00 eV/f.u.; total magnetization = 0.00 μB per formula unit; E_tot = -5.19 eV/atom; DOS(E_F) = 16.9 states/eV per cell; formation energy from the elements = -0.177 eV/atom; space-group type = Pnma (62)
1.0
6.532 0.000 0.000
0.000 7.050 0.000
0.000 0.000 9.943
Pm Pr Ni
8 4 4
direct
0.174 0.676 0.067 Pm
0.326 0.176 0.433 Pm
0.826 0.324 0.567 Pm
0.674 0.824 0.933 Pm
0.826 0.324 0.933 Pm
0.674 0.824 0.567 Pm
0.174 0.676 0.433 Pm
0.326 0.176 0.067 Pm
0.643 0.534 0.250 Pr
0.857 0.034 0.250 Pr
0.357 0.466 0.750 Pr
0.143 0.966 0.750 Pr
0.072 0.388 0.250 Ni
0.428 0.888 0.250 Ni
0.928 0.612 0.750 Ni
0.572 0.112 0.750 Ni

=====

Record 7
PBE PmPr2Ni6, optimized geometry; total magnetization = 0.72 μB per formula unit; E_tot = -5.75 eV/atom; DOS(E_F) = 10.2 states/eV per cell; formation energy from the elements = -0.307 eV/atom; space-group type = P6/mmm (191)
1.0
4.003 0.000 0.000
0.000 6.044 -3.489
0.000 0.000 6.978
Pm Pr Ni
1 2 6
direct
0.000 0.000 0.000 Pm
0.000 0.333 0.667 Pr
0.000 0.667 0.333 Pr
0.500 0.332 0.332 Ni
0.500 0.668 0.668 Ni
0.500 0.000 0.668 Ni
0.500 0.668 0.000 Ni
0.500 0.332 0.000 Ni
0.500 0.000 0.332 Ni

=====

Record 8
PBE PmPr4Ni2, optimized geometry; energy above the lowest structure with this stoichiometry = 0.00 eV/f.u.; total magnetization = 0.00 μB per formula unit; E_tot = -5.12 eV/atom; DOS(E_F) = 18.1 states/eV per cell; formation energy from the elements = -0.060 eV/atom; space-group type = P2_1/m (11)
1.0
-3.437 -5.169 2.683
1.102 -4.057 -6.404
5.968 -0.995 5.727
Pm Pr Ni
2 8 4
direct
0.250 0.859 0.973 Pm
0.750 0.141 0.027 Pm
0.511 0.411 0.771 Pr
0.250 0.259 0.357 Pr
0.750 0.741 0.643 Pr
0.989 0.411 0.771 Pr
0.750 0.021 0.378 Pr
0.011 0.589 0.229 Pr
0.489 0.589 0.229 Pr
0.250 0.979 0.622 Pr
0.250 0.250 0.997 Ni
0.750 0.750 0.003 Ni
0.750 0.374 0.390 Ni
0.250 0.626 0.610 Ni

=====

Record 9
PBE PmPrNi2, optimized geometry; energy above the lowest structure with this stoichiometry = 0.00 eV/f.u.; total magnetization = 0.00 μB per formula unit; E_tot = -5.59 eV/atom; DOS(E_F) = 2.5 states/eV per cell; formation energy from the elements = -0.322 eV/atom; space-group type = Pm (6)
1.0
-0.191 -0.750 3.775
-2.882 -3.117 -0.765
4.027 -3.142 -2.372
Pm Pr Ni
1 1 2
direct
0.719 0.000 0.978 Pm
0.444 0.500 0.427 Pr
0.154 0.500 0.848 Ni
0.014 0.000 0.565 Ni

=====

Record 10
PBE Pm5Pr4Ni2, optimized geometry; total magnetization = 0.00 μB per formula unit; E_tot = -4.96 eV/atom; DOS(E_F) = 14.9 states/eV per cell; formation energy from the elements = -0.014 eV/atom; space-group type = P2/m (10)
1.0
-2.585 -2.418 -1.007
5.786 -6.734 1.315
-3.908 0.183 9.593
Pm Pr Ni
5 4 2
direct
0.000 0.525 0.330 Pm
0.000 0.154 0.139 Pm
0.000 0.500 0.000 Pm
0.000 0.846 0.861 Pm
0.000 0.475 0.670 Pm
0.500 0.806 0.548 Pr
0.500 0.179 0.817 Pr
0.500 0.194 0.452 Pr
0.500 0.821 0.183 Pr
0.000 0.057 0.622 Ni
0.000 0.943 0.378 Ni

=====

Record 11
PBE Pm3PrNi3, optimized geometry; total magnetization = 0.00 μB per formula unit; E_tot = -5.39 eV/atom; DOS(E_F) = 14.3 states/eV per cell; formation energy from the elements = -0.193 eV/atom; space-group type = C2/m (12)
1.0
6.828 1.252 0.400
-1.921 6.671 0.400
-0.316 -0.509 6.942
Pm Pr Ni
6 2 6
direct
0.669 0.669 0.380 Pm
0.178 0.822 0.500 Pm
0.822 0.178 0.500 Pm
0.247 0.753 0.000 Pm
0.753 0.247 0.000 Pm
0.331 0.331 0.620 Pm
0.743 0.743 0.879 Pr
0.257 0.257 0.121 Pr
0.941 0.941 0.184 Ni
0.984 0.494 0.704 Ni
0.494 0.984 0.704 Ni
0.016 0.506 0.296 Ni
0.506 0.016 0.296 Ni
0.059 0.059 0.816 Ni

=====

Record 12
PBE PmPrNi10, optimized geometry; total magnetization = 2.86 μB per formula unit; E_tot = -5.89 eV/atom; DOS(E_F) = 13.6 states/eV per cell; formation energy from the elements = -0.275 eV/atom; space-group type = Pmmm (47)
1.0
3.965 0.000 0.000
0.000 4.967 0.000
0.000 0.000 8.592
Pm Pr Ni
1 1 10
direct
0.000 0.000 0.000 Pm
0.000 0.500 0.500 Pr
0.000 0.000 0.332 Ni
0.000 0.500 0.835 Ni
0.000 0.500 0.165 Ni
0.000 0.000 0.668 Ni
0.500 0.000 0.500 Ni
0.500 0.500 0.000 Ni
0.500 0.249 0.248 Ni
0.500 0.751 0.752 Ni
0.500 0.751 0.248 Ni
0.500 0.249 0.752 Ni